Ho2ErSc3Sb2Os | the Open Quantum Materials Database | GGA-PBE | optimized geometry; crystal system = orthorhombic; electronic total energy = -6.541 eV per atom
1.0
4.179 0.000 0.000
0.000 6.749 3.894
0.000 -6.749 3.894
Er Ho Os Sb Sc
1 2 1 2 3
Direct
0.000 0.606 0.606
0.000 0.394 0.000
0.000 0.000 0.394
0.000 0.999 0.999
0.500 0.667 0.334
0.500 0.334 0.667
0.500 0.228 0.228
0.500 0.000 0.771
0.500 0.771 0.000